No. 1
DFT (PBE) results for a geometry-optimized CaLa2InRh structure. Values from VASP.

Geometry as Quantum ESPRESSO input:
```
&SYSTEM
  ibrav = 0, nat = 5, ntyp = 4
/
ATOMIC_SPECIES
Ca 40.08 Ca.upf
La 138.91 La.upf
In 114.82 In.upf
Rh 102.91 Rh.upf
ATOMIC_POSITIONS angstrom
Ca 0.0000 0.0000 0.0000
La 0.0000 2.7603 2.7019
La 2.7603 0.0000 2.7019
In 2.7603 2.7603 0.0000
Rh 2.7603 2.7603 2.7019
CELL_PARAMETERS angstrom
5.5207 0.0000 0.0000
0.0000 5.5207 0.0000
0.0000 0.0000 5.4038
```

calculated formation energy	-0.399	eV per atom
space-group type	P4/mmm (123)

---

No. 2
DFT (PBE) results for a geometry-optimized Al2HgP structure. Values from VASP.

Geometry as Quantum ESPRESSO input:
```
&SYSTEM
  ibrav = 0, nat = 8, ntyp = 3
/
ATOMIC_SPECIES
Al 26.98 Al.upf
Hg 200.59 Hg.upf
P 30.97 P.upf
ATOMIC_POSITIONS angstrom
Al 0.0000 0.0000 0.0000
Al 0.0000 1.8690 2.7820
Al 1.8690 0.0000 8.3459
Al 1.8690 1.8690 5.5640
Hg 0.0000 1.8690 8.3459
Hg 1.8690 0.0000 2.7820
P 0.0000 0.0000 5.5640
P 1.8690 1.8690 0.0000
CELL_PARAMETERS angstrom
3.7379 0.0000 0.0000
0.0000 3.7379 0.0000
0.0000 0.0000 11.1279
```

calculated formation energy	0.226	eV per atom
space-group type	I-4m2 (119)

---

No. 3
DFT (PBE) results for a geometry-optimized Zr2S2O structure. Values from VASP.

Geometry as Quantum ESPRESSO input:
```
&SYSTEM
  ibrav = 0, nat = 10, ntyp = 3
/
ATOMIC_SPECIES
Zr 91.22 Zr.upf
S 32.06 S.upf
O 16.00 O.upf
ATOMIC_POSITIONS angstrom
Zr 1.0751 2.2019 0.0000
Zr 2.2019 5.4790 0.0000
Zr 4.3521 1.0751 0.0000
Zr 5.4790 4.3521 0.0000
S 0.9479 4.2249 1.8396
S 2.3292 0.9479 1.8396
S 4.2249 5.6062 1.8396
S 5.6062 2.3292 1.8396
O 0.0000 0.0000 0.0000
O 3.2770 3.2770 0.0000
CELL_PARAMETERS angstrom
6.5541 0.0000 0.0000
0.0000 6.5541 0.0000
0.0000 0.0000 3.6792
```

energy relative to the elements, uncorrected	-8.30	eV/f.u.
space-group type	P4/mbm (127)

---

No. 4
DFT (PBE) results for a geometry-optimized LiYTe2 structure. Values from VASP.

Geometry as Quantum ESPRESSO input:
```
&SYSTEM
  ibrav = 0, nat = 32, ntyp = 3
/
ATOMIC_SPECIES
Li 6.94 Li.upf
Y 88.91 Y.upf
Te 127.60 Te.upf
ATOMIC_POSITIONS angstrom
Li 3.9298 3.0779 12.6569
Li 3.9596 0.1478 8.9994
Li 6.8876 3.0779 8.7589
Li 4.1575 -0.1478 1.8608
Li 6.8579 0.1478 12.4164
Li 4.1277 -3.0779 5.5183
Li 7.0558 -0.1478 5.2778
Li 7.0855 -3.0779 1.6203
Y 2.6610 1.4975 5.0928
Y 5.4755 4.3470 5.3856
Y 5.7377 4.3470 1.7530
Y 2.4631 -1.4975 12.2314
Y 8.5523 1.4975 2.0458
Y 5.2776 -4.3470 12.5242
Y 5.5398 -4.3470 8.8916
Y 8.3544 -1.4975 9.1844
Te 2.3541 1.5649 10.8781
Te 5.4087 4.5970 10.7079
Te 2.0231 0.4424 0.2073
Te 4.5388 2.3745 7.4575
Te 1.8252 -0.4424 7.3459
Te 5.6066 1.5706 3.5693
Te 2.5520 -1.5649 3.7395
Te 6.2787 2.3745 13.9583
Te 4.7367 -2.3745 0.3189
Te 8.4634 1.5649 10.5377
Te 5.4087 -1.5706 10.7079
Te 9.1902 0.4424 6.9313
Te 6.4766 -2.3745 6.8197
Te 8.9923 -0.4424 14.0699
Te 5.6066 -4.5970 3.5693
Te 8.6612 -1.5649 3.3991
CELL_PARAMETERS angstrom
5.7056 -5.8102 0.0000
5.7056 5.8102 0.0000
-0.3958 0.0000 14.2772
```

energy relative to the elements, uncorrected	-4.82	eV/f.u.
space-group type	C2/c (15)